1.
A plane-wave DFT calculation with GGA-PBE was carried out for MgH3Ir after structural relaxation.

Results
total energy	-85.81	eV for the cell shown
total magnetic moment	0.00	μB/f.u.
crystal system	monoclinic

Geometry as POSCAR:
```
MgH3Ir
1.0
8.0497 0.0000 0.6966
3.1550 4.4345 -2.1995
-3.1550 4.4345 2.1995
Mg Ir H
4 4 12
direct
0.7500 0.5898 0.0898 Mg
0.2500 0.4102 0.9102 Mg
0.7500 0.1394 0.6394 Mg
0.2500 0.8606 0.3607 Mg
0.3213 0.2522 0.4972 Ir
0.1787 0.9972 0.7522 Ir
0.8213 0.0028 0.2478 Ir
0.6787 0.7478 0.5028 Ir
0.4156 0.9341 0.0928 H
0.9156 0.4072 0.5659 H
0.0844 0.5928 0.4341 H
0.8622 0.1614 0.0450 H
0.5844 0.0659 0.9072 H
0.6121 0.3358 0.1751 H
0.8879 0.6751 0.8358 H
0.6378 0.5450 0.6614 H
0.1121 0.3249 0.1642 H
0.3622 0.4550 0.3386 H
0.3879 0.6642 0.8249 H
0.1378 0.8386 0.9550 H
```



2.
A plane-wave DFT calculation with GGA-PBE was carried out for MgH3Ir2 after structural relaxation.

Results
total magnetic moment	0.00	μB/f.u.
crystal system	monoclinic
ΔE to the lowest computed polymorph	26.3	kJ/mol of formula units

Geometry as POSCAR:
```
MgH3Ir2
1.0
-1.1373 4.3496 1.7104
-2.7829 3.0470 -2.8374
-1.7941 -1.2215 1.9155
Ir H Mg
2 3 1
direct
0.9688 0.9524 0.7001 Ir
0.5207 0.8484 0.1478 Ir
0.6923 0.1150 0.2810 H
0.4070 0.6857 0.5677 H
0.7526 0.4004 0.9239 H
0.1919 0.4005 0.9243 Mg
```



3.
A plane-wave DFT calculation with GGA-PBE was carried out for MgH2Ir2 after structural relaxation.

Results
total magnetic moment	0.00	μB/f.u.
crystal system	monoclinic
ΔE to the lowest computed polymorph	11.6	kJ/mol of formula units

Geometry as POSCAR:
```
MgH2Ir2
1.0
5.0081 -0.0021 1.4271
-2.2521 4.1845 0.0004
-0.0006 -0.0003 2.8372
Mg Ir H
1 2 2
direct
0.6404 0.9003 0.1600 Mg
0.1447 0.0274 0.4080 Ir
0.1361 0.5230 0.9127 Ir
0.9334 0.6015 0.5151 H
0.3475 0.3085 0.8057 H
```



4.
A plane-wave DFT calculation with GGA-PBE was carried out for MgH3Ir after structural relaxation.

Results
total energy	-43.07	eV for the cell shown
total magnetic moment	0.00	μB/f.u.
crystal system	triclinic

Geometry as POSCAR:
```
MgH3Ir
1.0
3.5699 0.0282 -0.0022
0.7692 7.4317 1.7612
0.0029 -0.0035 3.5100
H Mg Ir
6 2 2
direct
0.3666 0.7244 0.9158 H
0.1144 0.9223 0.3152 H
0.3268 0.3510 0.1017 H
0.2521 0.1778 0.6886 H
0.7620 0.1713 0.1919 H
0.5142 0.5013 0.5277 H
0.9176 0.5342 0.0119 Mg
0.7899 0.9524 0.8005 Mg
0.2681 0.1385 0.2082 Ir
0.4074 0.7217 0.4172 Ir
```



5.
A plane-wave DFT calculation with GGA-PBE was carried out for Mg2H3Ir4 after structural relaxation.

Results
total magnetic moment	0.00	μB/f.u.
crystal system	monoclinic
ΔE to the lowest computed polymorph	36.1	kJ/mol of formula units

Geometry as POSCAR:
```
Mg2H3Ir4
1.0
6.9970 -0.0143 -0.0002
-0.7921 4.8259 0.0001
-0.0002 0.0001 2.9517
H Mg Ir
3 2 4
direct
0.4078 0.2390 0.9732 H
0.7471 0.3010 0.9739 H
0.1921 0.6246 0.4734 H
0.9054 0.5764 0.4748 Mg
0.5831 0.0217 0.4740 Mg
0.2495 0.8165 0.9735 Ir
0.5753 0.5483 0.9740 Ir
0.9202 0.0565 0.9739 Ir
0.2349 0.2804 0.4736 Ir
```



6.
A plane-wave DFT calculation with GGA-PBE was carried out for MgH2Ir after structural relaxation.

Results
total energy	-36.14	eV for the cell shown
total magnetic moment	0.00	μB/f.u.
crystal system	orthorhombic

Geometry as POSCAR:
```
MgH2Ir
1.0
3.3595 -0.0001 0.0001
0.0001 3.5082 -0.0001
0.0000 0.0000 6.6151
Ir H Mg
2 4 2
direct
0.9508 0.3038 0.6298 Ir
0.9508 0.3038 0.1643 Ir
0.9508 0.8038 0.6315 H
0.9508 0.3037 0.8999 H
0.4508 0.3038 0.5804 H
0.9509 0.8038 0.1634 H
0.4508 0.8037 0.3846 Mg
0.4508 0.8037 0.9133 Mg
```